ReNiRh: PBEsol geometry, meta-GGA SCAN.

## Properties
Distance to the lowest polymorph of the same formula ... 0.0 meV per atom
Total DFT energy (no corrections) ... -40.45 eV/atom
E_form ... -0.10 eV per atom
DOS(E_F) ... 4.007 states/eV/cell

Cell lengths 2.6632, 3.6952, 7.8016 Å; angles 90.00, 90.00, 90.00 degrees
Closest atoms and distances in Å follow each position.
Space group Imm2 (No. 44)
Inequivalent atoms, fractional coordinates:
Re (0.0000, 0.0000, 0.0000)  5 Rh 2.58-2.63, 5 Ni 2.60-2.64, 2 Re 2.66
Ni (0.0000, 0.0000, 0.3388)  5 Rh 2.58-2.63, 5 Re 2.60-2.64, 2 Ni 2.66
Rh (0.0000, 0.0000, 0.6695)  5 Re 2.58-2.63, 5 Ni 2.58-2.63, 2 Rh 2.66